P.
This record from the Alexandria database describes crystalline CdAg2GeS4 at its relaxed geometry. The functional is GGA-PBE.

Structure (CIF):
```
data_CdAg2GeS4
_cell_length_a 13.9553
_cell_length_b 8.1055
_cell_length_c 6.6870
_cell_angle_alpha 90.00
_cell_angle_beta 90.00
_cell_angle_gamma 90.00
_space_group_name_H-M_alt 'P n a 21'
_space_group_IT_number 33
_space_group_name_Hall 'P 2c -2n'
loop_
_atom_site_label
_atom_site_type_symbol
_atom_site_fract_x
_atom_site_fract_y
_atom_site_fract_z
Cd1 Cd 0.1596 0.0111 0.0000
Ag1 Ag 0.0753 0.2561 0.4943
Ag2 Ag 0.1619 0.5010 0.0081
Ge1 Ge 0.0895 0.7569 0.4953
S1 S 0.0617 0.2583 0.8782
S2 S 0.0914 0.7534 0.8319
S3 S 0.1634 0.5249 0.3869
S4 S 0.1637 0.9869 0.3848
```

---

Q.
This record from the Alexandria database describes crystalline CdAg2GeS4 at its relaxed geometry. The functional is GGA-PBE.

Structure (CIF):
```
data_CdAg2GeS4
_cell_length_a 5.6669
_cell_length_b 5.6669
_cell_length_c 11.7583
_cell_angle_alpha 90.00
_cell_angle_beta 90.00
_cell_angle_gamma 90.00
_space_group_name_H-M_alt 'I -4 2 m'
_space_group_IT_number 121
_space_group_name_Hall 'I -4 2'
loop_
_atom_site_label
_atom_site_type_symbol
_atom_site_fract_x
_atom_site_fract_y
_atom_site_fract_z
Cd1 Cd 0.0000 0.0000 0.0000
Ag1 Ag 0.0000 0.5000 0.2500
Ge1 Ge 0.0000 0.0000 0.5000
S1 S 0.2252 0.2252 0.3838
```

---

Name the least stable of them. Q.